Entry 1:
Entry from the Alexandria database: a relaxed Na2MgVF6 crystal (PBE+U).

The structure belongs to space group P2_1/c (No. 14); the cell edges are 5.491, 5.686 and 9.608 Å and the angles 90.00°, 124.79° and 90.00°. The inequivalent atoms are Na at (0.235, 0.053, 0.249), Mg at (0.500, 0.000, 0.000), V at (0.000, 0.000, 0.500), F at (0.151, 0.194, 0.946), F at (0.252, 0.708, 0.942) and F at (0.363, 0.041, 0.757).


Entry 2:
Entry from the Alexandria database: a relaxed Na3Mg2VF9 crystal (PBE+U).

The structure belongs to space group P-3m1 (No. 164); the cell edges are 5.6418, 5.6418 and 7.0789 Å and the angles 90.00°, 90.00° and 120.00°. The inequivalent atoms are Na at (0.0000, 0.0000, 0.0000), Na at (0.3333, 0.6667, 0.7019), Mg at (0.3333, 0.6667, 0.1632), V at (0.0000, 0.0000, 0.5000), F at (0.0000, 0.5000, 0.0000) and F at (0.1677, 0.3353, 0.3186).


Total magnetic moment
In order: 3.0 3.0
Unit: μB/f.u.
VASP energy
In order: -5.27 -5.11
Unit: eV per atom